# 1
DFT (PBE) results for a relaxed structure of La2Cr4Ag. Values from VASP.

Cell and atoms, written as Quantum ESPRESSO input:
```
&SYSTEM
  ibrav = 0, nat = 7, ntyp = 3
/
ATOMIC_SPECIES
La 138.91 La.upf
Cr 52.00 Cr.upf
Ag 107.87 Ag.upf
CELL_PARAMETERS angstrom
-2.476 2.476 7.725
2.476 -2.476 7.725
2.476 2.476 -7.725
ATOMIC_POSITIONS angstrom
La 0.000 0.000 2.037
La 0.000 0.000 13.414
Cr 2.476 0.000 0.000
Cr 0.000 0.000 5.144
Cr 0.000 2.476 0.000
Cr 0.000 0.000 10.307
Ag 0.000 0.000 7.725
```

Summary:
Total moment = 0.179 μB/atom
ΔH_f (0 K) = 1.004 eV per atom
VASP energy = -6.310 eV/atom
Space-group type = I4/mmm

***

# 2
DFT (PBE) results for a relaxed structure of AgH2PtCl8. Values from VASP.

Cell and atoms, written as Quantum ESPRESSO input:
```
&SYSTEM
  ibrav = 0, nat = 12, ntyp = 4
/
ATOMIC_SPECIES
Ag 107.87 Ag.upf
H 1.01 H.upf
Pt 195.08 Pt.upf
Cl 35.45 Cl.upf
CELL_PARAMETERS angstrom
6.531 0.000 0.000
0.997 6.961 0.000
0.155 0.096 7.198
ATOMIC_POSITIONS angstrom
Ag 0.000 0.000 0.000
H 1.982 2.141 1.445
H 5.700 4.916 5.753
Pt 0.078 0.048 3.599
Cl 1.622 1.816 3.542
Cl 2.257 5.888 1.911
Cl 2.351 5.963 5.267
Cl 2.139 2.228 0.139
Cl 5.544 4.829 7.059
Cl 5.331 1.094 1.932
Cl 5.426 1.169 5.287
Cl 6.061 5.241 3.657
```

Summary:
Total moment = 0.023 μB/atom
VASP energy = -2.959 eV/atom
Space-group type = P-1

***

# 3
DFT (PBE) results for a relaxed structure of Tb3Nd3Ho2. Values from VASP.

Cell and atoms, written as Quantum ESPRESSO input:
```
&SYSTEM
  ibrav = 0, nat = 8, ntyp = 3
/
ATOMIC_SPECIES
Tb 158.93 Tb.upf
Nd 144.24 Nd.upf
Ho 164.93 Ho.upf
CELL_PARAMETERS angstrom
8.194 -2.878 0.000
8.194 2.878 0.000
-2.135 0.000 5.639
ATOMIC_POSITIONS angstrom
Tb 0.000 0.000 0.000
Tb 0.939 0.000 3.272
Tb 13.315 0.000 2.366
Nd 4.265 0.000 4.537
Nd 7.127 0.000 2.819
Nd 9.989 0.000 1.102
Ho 3.709 0.000 1.027
Ho 10.545 0.000 4.611
```

Summary:
Total moment = 0.000 μB/atom
ΔH_f (0 K) = 0.083 eV per atom
VASP energy = -4.586 eV/atom
Space-group type = C2/m

***

# 4
DFT (PBE) results for a relaxed structure of PaBCl. Values from VASP.

Cell and atoms, written as Quantum ESPRESSO input:
```
&SYSTEM
  ibrav = 0, nat = 6, ntyp = 3
/
ATOMIC_SPECIES
Pa 231.04 Pa.upf
B 10.81 B.upf
Cl 35.45 Cl.upf
CELL_PARAMETERS angstrom
2.870 -1.657 0.000
2.870 1.657 0.000
-0.306 0.000 11.910
ATOMIC_POSITIONS angstrom
Pa 0.000 0.000 1.941
Pa 5.434 0.000 9.970
B 1.913 0.000 0.016
B 3.521 0.000 11.895
Cl 1.608 0.000 7.887
Cl 3.827 0.000 4.023
```

Summary:
Total moment = 0.000 μB/atom
VASP energy = -7.087 eV/atom
Space-group type = C2/m
ΔE to the lowest computed polymorph = 0 meV/atom
Uncorrected formation energy = -24.90 kcal/mol of atoms

***

# 5
DFT (PBE) results for a relaxed structure of GaTcRu3. Values from VASP.

Cell and atoms, written as Quantum ESPRESSO input:
```
&SYSTEM
  ibrav = 0, nat = 5, ntyp = 3
/
ATOMIC_SPECIES
Ga 69.72 Ga.upf
Tc 98.00 Tc.upf
Ru 101.07 Ru.upf
CELL_PARAMETERS angstrom
4.425 0.000 0.000
0.000 4.425 0.000
0.000 0.000 4.425
ATOMIC_POSITIONS angstrom
Ga 0.000 0.000 0.000
Tc 2.213 2.213 2.213
Ru 0.000 0.000 2.213
Ru 0.000 2.213 0.000
Ru 2.213 0.000 0.000
```

Summary:
Total moment = 0.000 μB/atom
ΔH_f (0 K) = 1.544 eV per atom
VASP energy = -6.700 eV/atom
Space-group type = Pm-3m
ΔE to the lowest computed polymorph = 0 meV/atom

***

# 6
DFT (PBE) results for a relaxed structure of MnSi2Ag. Values from VASP.

Cell and atoms, written as Quantum ESPRESSO input:
```
&SYSTEM
  ibrav = 0, nat = 4, ntyp = 3
/
ATOMIC_SPECIES
Mn 54.94 Mn.upf
Si 28.09 Si.upf
Ag 107.87 Ag.upf
CELL_PARAMETERS angstrom
4.015 0.000 0.000
0.000 4.015 0.000
0.000 0.000 3.696
ATOMIC_POSITIONS angstrom
Mn 0.000 0.000 0.000
Si 0.000 2.008 1.848
Si 2.008 0.000 1.848
Ag 2.008 2.008 0.000
```

Summary:
Total moment = 0.801 μB/atom
VASP energy = -5.452 eV/atom
Space-group type = P4/mmm
ΔE to the lowest computed polymorph = 302 meV/atom
Uncorrected formation energy = 6.10 kcal/mol of atoms

***

# 7
DFT (PBE) results for a relaxed structure of AlSb. Values from VASP.

Cell and atoms, written as Quantum ESPRESSO input:
```
&SYSTEM
  ibrav = 0, nat = 2, ntyp = 2
/
ATOMIC_SPECIES
Al 26.98 Al.upf
Sb 121.76 Sb.upf
CELL_PARAMETERS angstrom
1.901 -2.546 0.000
1.901 2.546 0.000
0.000 0.000 4.741
ATOMIC_POSITIONS angstrom
Al 0.000 0.000 0.000
Sb 1.901 0.000 2.370
```

Summary:
Total moment = 0.000 μB/atom
VASP energy = -3.687 eV/atom
Space-group type = Cmmm
Uncorrected formation energy = 5.67 kcal/mol of atoms

***

# 8
DFT (PBE) results for a relaxed structure of CsRb2Cu2Cl7. Values from VASP.

Cell and atoms, written as Quantum ESPRESSO input:
```
&SYSTEM
  ibrav = 0, nat = 12, ntyp = 4
/
ATOMIC_SPECIES
Cs 132.91 Cs.upf
Rb 85.47 Rb.upf
Cu 63.55 Cu.upf
Cl 35.45 Cl.upf
CELL_PARAMETERS angstrom
3.530 -3.529 0.000
3.530 3.529 0.000
-3.474 0.000 12.929
ATOMIC_POSITIONS angstrom
Cs 0.000 0.000 0.000
Rb -0.002 0.000 4.704
Rb 3.588 0.000 8.225
Cu 0.064 0.000 10.456
Cu 3.523 0.000 2.473
Cl 1.762 1.765 2.460
Cl 0.060 0.000 8.058
Cl 1.825 1.765 10.470
Cl 3.530 0.000 0.000
Cl 1.762 -1.765 2.460
Cl 3.526 0.000 4.871
Cl 1.825 -1.765 10.470
```

Summary:
Total moment = 0.000 μB/atom
VASP energy = -3.224 eV/atom
Space-group type = C2/m
Uncorrected formation energy = -28.41 kcal/mol of atoms

***

# 9
DFT (PBE) results for a relaxed structure of BeP2AuS. Values from VASP.

Cell and atoms, written as Quantum ESPRESSO input:
```
&SYSTEM
  ibrav = 0, nat = 5, ntyp = 4
/
ATOMIC_SPECIES
Be 9.01 Be.upf
P 30.97 P.upf
Au 196.97 Au.upf
S 32.06 S.upf
CELL_PARAMETERS angstrom
4.772 0.000 0.000
0.000 4.772 0.000
0.000 0.000 4.971
ATOMIC_POSITIONS angstrom
Be 0.000 0.000 0.000
P 0.000 2.386 2.486
P 2.386 0.000 2.486
Au 2.386 2.386 2.486
S 2.386 2.386 0.000
```

Summary:
Total moment = 0.271 μB/atom
VASP energy = -2.936 eV/atom
Space-group type = P4/mmm
ΔE to the lowest computed polymorph = 758 meV/atom
Uncorrected formation energy = 33.54 kcal/mol of atoms

***

# 10
DFT (PBE) results for a relaxed structure of BaSi2Ru. Values from VASP.

Cell and atoms, written as Quantum ESPRESSO input:
```
&SYSTEM
  ibrav = 0, nat = 4, ntyp = 3
/
ATOMIC_SPECIES
Ba 137.33 Ba.upf
Si 28.09 Si.upf
Ru 101.07 Ru.upf
CELL_PARAMETERS angstrom
0.000 3.405 3.405
3.405 0.000 3.405
3.405 3.405 0.000
ATOMIC_POSITIONS angstrom
Ba 0.000 0.000 0.000
Si 1.702 1.702 1.702
Si 5.107 5.107 5.107
Ru 3.405 3.405 3.405
```

Summary:
Total moment = 0.000 μB/atom
VASP energy = -5.085 eV/atom
Space-group type = Fm-3m
Uncorrected formation energy = 9.83 kcal/mol of atoms